{
  "formula": "NdTmHg",
  "functional": "GGA-PBE",
  "state": "relaxed",
  "space_group": "P-62m",
  "lattice": [[7.960, 0.000, 0.000], [-3.980, 6.894, 0.000], [0.000, 0.000, 4.817]],
  "species": ["Nd", "Nd", "Nd", "Tm", "Tm", "Tm", "Hg", "Hg", "Hg"],
  "fractional_positions": [[0.000, 0.398, 0.000], [0.398, 0.000, 0.000], [0.602, 0.602, 0.000], [0.000, 0.736, 0.500], [0.264, 0.264, 0.500], [0.736, 0.000, 0.500], [0.000, 0.000, 0.000], [0.333, 0.667, 0.500], [0.667, 0.333, 0.500]]
}


{
  "formula": "RbZr2TePb",
  "functional": "GGA-PBE",
  "state": "relaxed",
  "formation_energy_uncorrected_kj_per_mol_fu": 401.4,
  "space_group": "P4/mmm",
  "lattice": [[5.610, 0.000, 0.000], [0.000, 5.610, 0.000], [0.000, 0.000, 6.336]],
  "species": ["Rb", "Zr", "Zr", "Te", "Pb"],
  "fractional_positions": [[0.000, 0.000, 0.000], [0.000, 0.500, 0.500], [0.500, 0.000, 0.500], [0.500, 0.500, 0.000], [0.500, 0.500, 0.500]]
}


{
  "formula": "SrRu",
  "functional": "GGA-PBE",
  "state": "relaxed",
  "space_group": "P4/mmm",
  "lattice": [[3.239, 0.000, 0.000], [0.000, 3.239, 0.000], [0.000, 0.000, 4.484]],
  "species": ["Sr", "Ru"],
  "fractional_positions": [[0.000, 0.000, 0.000], [0.500, 0.500, 0.500]]
}


{
  "formula": "Be2TcPb",
  "functional": "GGA-PBE",
  "state": "relaxed",
  "space_group": "Pm",
  "lattice": [[3.061, 0.000, 0.000], [0.000, 3.418, 0.000], [-0.003, 0.000, 5.976]],
  "species": ["Be", "Be", "Tc", "Pb"],
  "fractional_positions": [[0.000, 0.000, 0.000], [0.002, 0.500, 0.793], [0.501, 0.000, 0.696], [0.000, 0.500, 0.355]]
}


{
  "formula": "LiVInPt",
  "functional": "GGA-PBE",
  "state": "relaxed",
  "space_group": "F-43m",
  "lattice": [[6.305, 0.000, 0.000], [0.000, 6.305, 0.000], [0.000, 0.000, 6.305]],
  "species": ["Li", "Li", "Li", "Li", "V", "V", "V", "V", "In", "In", "In", "In", "Pt", "Pt", "Pt", "Pt"],
  "fractional_positions": [[0.000, 0.000, 0.000], [0.000, 0.500, 0.500], [0.500, 0.000, 0.500], [0.500, 0.500, 0.000], [0.250, 0.250, 0.250], [0.250, 0.750, 0.750], [0.750, 0.250, 0.750], [0.750, 0.750, 0.250], [0.250, 0.250, 0.750], [0.250, 0.750, 0.250], [0.750, 0.250, 0.250], [0.750, 0.750, 0.750], [0.000, 0.000, 0.500], [0.000, 0.500, 0.000], [0.500, 0.000, 0.000], [0.500, 0.500, 0.500]]
}


{
  "formula": "LiNdDy2Cd4",
  "functional": "GGA-PBE",
  "state": "relaxed",
  "space_group": "R-3m",
  "lattice": [[2.606, 1.505, 8.680], [-2.606, 1.505, 8.680], [0.000, -3.009, 8.680]],
  "species": ["Li", "Nd", "Dy", "Dy", "Cd", "Cd", "Cd", "Cd"],
  "fractional_positions": [[0.000, 0.000, 0.000], [0.500, 0.500, 0.500], [0.253, 0.253, 0.253], [0.747, 0.747, 0.747], [0.116, 0.116, 0.116], [0.373, 0.373, 0.373], [0.627, 0.627, 0.627], [0.884, 0.884, 0.884]]
}


{
  "formula": "Mg9Al2Tl",
  "functional": "GGA-PBE",
  "state": "relaxed",
  "space_group": "P4/mmm",
  "lattice": [[4.416, 0.000, 0.000], [0.000, 4.416, 0.000], [0.000, 0.000, 13.354]],
  "species": ["Mg", "Mg", "Mg", "Mg", "Mg", "Mg", "Mg", "Mg", "Mg", "Al", "Al", "Tl"],
  "fractional_positions": [[0.000, 0.000, 0.000], [0.000, 0.000, 0.338], [0.000, 0.000, 0.662], [0.000, 0.500, 0.177], [0.000, 0.500, 0.500], [0.000, 0.500, 0.823], [0.500, 0.000, 0.177], [0.500, 0.000, 0.500], [0.500, 0.000, 0.823], [0.500, 0.500, 0.337], [0.500, 0.500, 0.663], [0.500, 0.500, 0.000]]
}


{
  "formula": "CaNiAu",
  "functional": "GGA-PBE",
  "state": "relaxed",
  "space_group": "F-43m",
  "lattice": [[6.541, 0.000, 0.000], [0.000, 6.541, 0.000], [0.000, 0.000, 6.541]],
  "species": ["Ca", "Ca", "Ca", "Ca", "Ni", "Ni", "Ni", "Ni", "Au", "Au", "Au", "Au"],
  "fractional_positions": [[0.000, 0.000, 0.000], [0.000, 0.500, 0.500], [0.500, 0.000, 0.500], [0.500, 0.500, 0.000], [0.250, 0.250, 0.250], [0.250, 0.750, 0.750], [0.750, 0.250, 0.750], [0.750, 0.750, 0.250], [0.250, 0.250, 0.750], [0.250, 0.750, 0.250], [0.750, 0.250, 0.250], [0.750, 0.750, 0.750]]
}


{
  "formula": "Pr2PaAs3",
  "functional": "GGA-PBE",
  "state": "relaxed",
  "space_group": "Immm",
  "lattice": [[4.227, 0.000, 0.000], [0.000, 5.961, 0.000], [0.000, 0.000, 12.704]],
  "species": ["Pr", "Pr", "Pr", "Pr", "Pa", "Pa", "As", "As", "As", "As", "As", "As"],
  "fractional_positions": [[0.000, 0.000, 0.169], [0.000, 0.000, 0.831], [0.500, 0.500, 0.331], [0.500, 0.500, 0.669], [0.000, 0.000, 0.500], [0.500, 0.500, 0.000], [0.000, 0.500, 0.155], [0.000, 0.500, 0.500], [0.000, 0.500, 0.845], [0.500, 0.000, 0.000], [0.500, 0.000, 0.345], [0.500, 0.000, 0.655]]
}


{
  "formula": "Sr2CdInS5",
  "functional": "GGA-PBE",
  "state": "relaxed",
  "formation_energy_uncorrected_kj_per_mol_fu": -976.4,
  "space_group": "Cmc2_1",
  "lattice": [[2.042, -8.917, 0.000], [2.042, 8.917, 0.000], [0.000, 0.000, 12.397]],
  "species": ["Sr", "Sr", "Sr", "Sr", "Cd", "Cd", "In", "In", "S", "S", "S", "S", "S", "S", "S", "S", "S", "S"],
  "fractional_positions": [[0.099, 0.901, 0.500], [0.126, 0.874, 0.151], [0.874, 0.126, 0.651], [0.901, 0.099, 0.000], [0.235, 0.765, 0.882], [0.765, 0.235, 0.382], [0.434, 0.566, 0.293], [0.566, 0.434, 0.793], [0.062, 0.938, 0.908], [0.268, 0.732, 0.528], [0.294, 0.706, 0.246], [0.378, 0.622, 0.833], [0.494, 0.506, 0.117], [0.506, 0.494, 0.617], [0.622, 0.378, 0.333], [0.706, 0.294, 0.746], [0.732, 0.268, 0.028], [0.938, 0.062, 0.408]]
}


{
  "formula": "TlNiW2",
  "functional": "GGA-PBE",
  "state": "relaxed",
  "space_group": "Cmm2",
  "lattice": [[3.335, 0.000, 0.000], [0.000, 4.599, 0.000], [0.000, 0.000, 8.763]],
  "species": ["Tl", "Tl", "Ni", "Ni", "W", "W", "W", "W"],
  "fractional_positions": [[0.000, 0.000, 0.000], [0.500, 0.500, 0.000], [0.000, 0.500, 0.252], [0.500, 0.000, 0.252], [0.000, 0.000, 0.466], [0.000, 0.500, 0.709], [0.500, 0.000, 0.709], [0.500, 0.500, 0.466]]
}


{
  "formula": "HgPtAu2",
  "functional": "GGA-PBE",
  "state": "relaxed",
  "space_group": "I-42d",
  "lattice": [[3.950, 0.000, 0.000], [0.000, 3.950, 0.000], [0.000, 0.000, 20.174]],
  "species": ["Hg", "Hg", "Hg", "Hg", "Pt", "Pt", "Pt", "Pt", "Au", "Au", "Au", "Au", "Au", "Au", "Au", "Au"],
  "fractional_positions": [[0.000, 0.000, 0.000], [0.000, 0.500, 0.250], [0.500, 0.000, 0.750], [0.500, 0.500, 0.500], [0.000, 0.000, 0.500], [0.000, 0.500, 0.750], [0.500, 0.000, 0.250], [0.500, 0.500, 0.000], [0.243, 0.250, 0.625], [0.250, 0.743, 0.875], [0.250, 0.757, 0.375], [0.257, 0.250, 0.125], [0.743, 0.750, 0.125], [0.750, 0.243, 0.375], [0.750, 0.257, 0.875], [0.757, 0.750, 0.625]]
}


Number 1: calculated total energy -3.471 eV per atom, N(E_F) 1.337 states/eV/atom. Number 2: calculated total energy -4.151 eV per atom, N(E_F) 1.156 states/eV/atom. Number 3: calculated total energy -4.628 eV per atom, N(E_F) 1.252 states/eV/atom. Number 4: calculated total energy -4.997 eV per atom, N(E_F) 0.733 states/eV/atom. Number 5: calculated total energy -5.244 eV per atom, N(E_F) 1.205 states/eV/atom. Number 6: calculated total energy -2.709 eV per atom, N(E_F) 0.963 states/eV/atom. Number 7: calculated total energy -2.030 eV per atom, N(E_F) 0.345 states/eV/atom. Number 8: calculated total energy -3.408 eV per atom, N(E_F) 0.284 states/eV/atom. Number 9: calculated total energy -6.853 eV per atom, N(E_F) 0.790 states/eV/atom. Number 10: calculated total energy -4.197 eV per atom, N(E_F) 0.654 states/eV/atom. Number 11: calculated total energy -8.022 eV per atom, N(E_F) 0.944 states/eV/atom. Number 12: calculated total energy -3.067 eV per atom, N(E_F) 0.355 states/eV/atom.